Here is an optimized crystal structure of Nd2Pu4Sb3H2 from the Alexandria database. Energies are from PBE.

Geometry as POSCAR:
```
Nd2Pu4Sb3H2
1.0
-2.273 2.273 13.231
2.273 -2.273 13.231
2.273 2.273 -13.231
Nd Pu Sb H
2 4 3 2
Direct
0.201 0.201 0.000 Nd
0.799 0.799 0.000 Nd
0.084 0.584 0.500 Pu
0.416 0.916 0.500 Pu
0.584 0.084 0.500 Pu
0.916 0.416 0.500 Pu
0.324 0.324 0.000 Sb
0.500 0.500 0.000 Sb
0.676 0.676 0.000 Sb
0.111 0.111 0.000 H
0.889 0.889 0.000 H
```

Calculated values
- N(E_F): 24.2 states/eV/f.u.
- Magnetic moment: 2.272 μB per atom
- Energy: -92.94 eV/cell
- Space-group type: I4/mmm, No. 139
- Calculated volume: 24.86 A^3/atom

***

Here is an optimized crystal structure of Al2P2Pt from the Alexandria database. Energies are from PBE.

Geometry as POSCAR:
```
Al2P2Pt
1.0
-1.615 1.615 7.505
1.615 -1.615 7.505
1.615 1.615 -7.505
Al P Pt
2 2 1
Direct
0.096 0.096 0.000 Al
0.904 0.904 0.000 Al
0.250 0.750 0.500 P
0.750 0.250 0.500 P
0.500 0.500 0.000 Pt
```

Calculated values
- N(E_F): 1.7 states/eV/f.u.
- Magnetic moment: 0.000 μB per atom
- Energy above the lowest structure with this stoichiometry: 0.000 eV/atom
- Energy: -25.30 eV/cell
- Space-group type: I4/mmm, No. 139
- Calculated volume: 15.67 A^3/atom

***

Here is an optimized crystal structure of CsThNb2O8 from the Alexandria database. Energies are from PBE.

Geometry as POSCAR:
```
CsThNb2O8
1.0
6.268 0.000 0.000
-3.134 5.428 0.000
0.000 0.000 8.510
Cs Th Nb O
1 1 2 8
Direct
0.000 0.000 0.000 Cs
0.000 0.000 0.500 Th
0.333 0.667 0.736 Nb
0.667 0.333 0.264 Nb
0.168 0.337 0.666 O
0.168 0.832 0.666 O
0.333 0.667 0.952 O
0.337 0.168 0.334 O
0.663 0.832 0.666 O
0.667 0.333 0.048 O
0.832 0.168 0.334 O
0.832 0.663 0.334 O
```

Calculated values
- N(E_F): 10.4 states/eV/f.u.
- Magnetic moment: 0.090 μB per atom
- Energy: -99.02 eV/cell
- Space-group type: P-3m1, No. 164
- Calculated volume: 24.13 A^3/atom